A plane-wave DFT calculation with PBE-GGA was carried out for an optimized crystal structure of MnSbTe2Ru.

abc: 5.145 5.145 4.502
angles: 90.00 90.00 90.00
Space group P4/mmm (No. 123)
Symmetry-distinct sites (fractional):
Mn (0.000, 0.000, 0.000) [1 per cell]
Sb (0.500, 0.500, 0.500) [1 per cell]
Te (0.000, 0.500, 0.000) [2 per cell]
Ru (0.000, 0.000, 0.500) [1 per cell]

Properties
Calculated volume = 119.2 Å³ per cell
Energy relative to the elements, uncorrected = 770 meV/atom
M_tot = 2.21 μB/f.u.
Offset from the most stable computed form = 82.1 meV per atom